1.
First-principles (PBE-GGA) data for crystalline HoNbZnTc at its relaxed geometry, as listed in Alexandria.

Lattice parameters (Å, degrees): 4.702 4.702 4.702 60.00 60.00 60.00
Positions (direct):
Ho  0.000  0.000  0.000
Nb  0.500  0.500  0.500
Zn  0.750  0.750  0.750
Tc  0.250  0.250  0.250

**Formation enthalpy at 0 K**: -0.04 eV per atom
**Total moment**: 0.00 Bohr magnetons per cell
**D(E_F)**: 4.60 states/eV/f.u.

2.
First-principles (PBE-GGA) data for crystalline HoNb4Te8 at its relaxed geometry, as listed in Alexandria.

Lattice parameters (Å, degrees): 8.728 8.728 8.728 51.08 51.08 51.08
Positions (direct):
Ho  0.000  0.000  0.000
Nb  0.000  0.000  0.500
Nb  0.000  0.500  0.000
Nb  0.500  0.000  0.000
Nb  0.500  0.500  0.500
Te  0.247  0.247  0.247
Te  0.256  0.742  0.742
Te  0.258  0.258  0.744
Te  0.258  0.744  0.258
Te  0.742  0.256  0.742
Te  0.742  0.742  0.256
Te  0.744  0.258  0.258
Te  0.753  0.753  0.753

**Energy**: -76.376 eV per formula unit
**Total moment**: 0.00 Bohr magnetons per cell
**D(E_F)**: 5.00 states/eV/f.u.

3.
First-principles (PBE-GGA) data for crystalline HoNbTe2 at its relaxed geometry, as listed in Alexandria.

Lattice parameters (Å, degrees): 9.606 9.606 9.606 24.75 24.75 24.75
Positions (direct):
Ho  0.000  0.000  0.000
Nb  0.500  0.500  0.500
Te  0.400  0.400  0.400
Te  0.600  0.600  0.600

**Energy**: -20.991 eV per formula unit
**Total moment**: 3.32 Bohr magnetons per cell
**D(E_F)**: 3.79 states/eV/f.u.

4.
First-principles (PBE-GGA) data for crystalline HoTiNb at its relaxed geometry, as listed in Alexandria.

Lattice parameters (Å, degrees): 5.838 5.838 5.838 144.85 144.85 50.55
Positions (direct):
Ho  0.000  0.000  0.000
Ti  0.298  0.298  0.000
Nb  0.699  0.699  0.000

**Formation enthalpy at 0 K**: 0.14 eV per atom
**Total moment**: 0.00 Bohr magnetons per cell
**D(E_F)**: 3.94 states/eV/f.u.
**Polymorph energy (0 for the lowest one)**: 0.00 eV per formula unit

5.
First-principles (PBE-GGA) data for crystalline HoTi2Nb at its relaxed geometry, as listed in Alexandria.

Lattice parameters (Å, degrees): 3.459 3.459 6.893 90.00 90.00 90.00
Positions (direct):
Ho  0.000  0.000  0.000
Ti  0.500  0.500  0.302
Ti  0.500  0.500  0.698
Nb  0.000  0.000  0.500

**Formation enthalpy at 0 K**: 0.09 eV per atom
**Total moment**: 0.00 Bohr magnetons per cell
**D(E_F)**: 6.52 states/eV/f.u.

6.
First-principles (PBE-GGA) data for crystalline HoTiNb at its relaxed geometry, as listed in Alexandria.

Lattice parameters (Å, degrees): 10.116 9.212 5.955 80.57 63.93 35.50
Positions (direct):
Ho  0.038  0.038  0.212
Ho  0.212  0.212  0.038
Ho  0.788  0.788  0.962
Ho  0.962  0.962  0.788
Ti  0.213  0.537  0.213
Ti  0.463  0.787  0.463
Ti  0.537  0.213  0.537
Ti  0.787  0.463  0.787
Nb  0.249  0.249  0.501
Nb  0.499  0.499  0.751
Nb  0.501  0.501  0.249
Nb  0.751  0.751  0.499

**Formation enthalpy at 0 K**: 0.32 eV per atom
**Total moment**: 0.01 Bohr magnetons per cell
**D(E_F)**: 4.29 states/eV/f.u.
**Polymorph energy (0 for the lowest one)**: 0.56 eV per formula unit

7.
First-principles (PBE-GGA) data for crystalline HoTmNb4 at its relaxed geometry, as listed in Alexandria.

Lattice parameters (Å, degrees): 5.705 5.705 5.705 60.00 60.00 60.00
Positions (direct):
Ho  0.000  0.000  0.000
Tm  0.750  0.750  0.750
Nb  0.375  0.375  0.375
Nb  0.375  0.375  0.875
Nb  0.375  0.875  0.375
Nb  0.875  0.375  0.375

**Formation enthalpy at 0 K**: 0.16 eV per atom
**Total moment**: 0.00 Bohr magnetons per cell
**D(E_F)**: 11.84 states/eV/f.u.

8.
First-principles (PBE-GGA) data for crystalline HoTm2Nb at its relaxed geometry, as listed in Alexandria.

Lattice parameters (Å, degrees): 11.616 11.616 11.616 16.16 16.16 16.16
Positions (direct):
Ho  0.000  0.000  0.000
Tm  0.416  0.416  0.416
Tm  0.584  0.584  0.584
Nb  0.500  0.500  0.500

**Formation enthalpy at 0 K**: 0.51 eV per atom
**Total moment**: 0.15 Bohr magnetons per cell
**D(E_F)**: 5.82 states/eV/f.u.

9.
First-principles (PBE-GGA) data for crystalline HoTmNb at its relaxed geometry, as listed in Alexandria.

Lattice parameters (Å, degrees): 9.825 9.825 4.885 90.00 90.00 161.41
Positions (direct):
Ho  0.052  0.948  0.750
Ho  0.948  0.052  0.250
Tm  0.364  0.636  0.750
Tm  0.636  0.364  0.250
Nb  0.215  0.785  0.750
Nb  0.785  0.215  0.250

**Formation enthalpy at 0 K**: 0.32 eV per atom
**Total moment**: 0.00 Bohr magnetons per cell
**D(E_F)**: 4.12 states/eV/f.u.

10.
First-principles (PBE-GGA) data for crystalline HoNbV at its relaxed geometry, as listed in Alexandria.

Lattice parameters (Å, degrees): 7.051 7.051 7.051 26.65 26.65 26.65
Positions (direct):
Ho  0.000  0.000  0.000
Nb  0.796  0.796  0.796
V  0.215  0.215  0.215

**Formation enthalpy at 0 K**: 0.47 eV per atom
**Total moment**: 0.00 Bohr magnetons per cell
**D(E_F)**: 4.30 states/eV/f.u.

11.
First-principles (PBE-GGA) data for crystalline HoNbV4 at its relaxed geometry, as listed in Alexandria.

Lattice parameters (Å, degrees): 5.193 5.193 5.193 60.00 60.00 60.00
Positions (direct):
Ho  0.000  0.000  0.000
Nb  0.750  0.750  0.750
V  0.375  0.375  0.375
V  0.375  0.375  0.876
V  0.375  0.876  0.375
V  0.876  0.375  0.375

**Formation enthalpy at 0 K**: 0.21 eV per atom
**Total moment**: 0.00 Bohr magnetons per cell
**D(E_F)**: 8.57 states/eV/f.u.

12.
First-principles (PBE-GGA) data for crystalline HoNbW at its relaxed geometry, as listed in Alexandria.

Lattice parameters (Å, degrees): 11.486 10.606 5.666 83.96 66.66 29.38
Positions (direct):
Ho  0.030  0.720  0.030
Ho  0.280  0.970  0.280
Ho  0.720  0.030  0.720
Ho  0.970  0.280  0.970
Nb  0.288  0.288  0.462
Nb  0.462  0.462  0.288
Nb  0.538  0.538  0.712
Nb  0.712  0.712  0.538
W  0.000  0.000  0.250
W  0.000  0.000  0.750
W  0.250  0.250  0.000
W  0.750  0.750  0.000

**Formation enthalpy at 0 K**: 0.36 eV per atom
**Total moment**: 0.00 Bohr magnetons per cell
**D(E_F)**: 3.00 states/eV/f.u.